The following is a DFT calculation (PBE) of a geometry-optimized ScTc2Mo structure.

Cell: 2.835 4.357 5.235 Å, 90.00 98.94 90.00°
Space group P2/m (No. 10)
Unique sites:
Sc: 0.000 0.000 0.000
Tc: 0.272 0.500 0.747
Mo: 0.500 0.000 0.500

- N(E_F): 3.142 states/eV/cell
- Calculated total energy: -9.5032 eV/atom
- Energy above the most stable polymorph in this dataset: 148 meV per atom
- DFT formation energy: -0.03 eV/atom